Record 1
A plane-wave DFT calculation with PBE was carried out for a geometry-optimized HfP2BrCl structure.

Cell: 5.0950 5.0950 4.9056 Å, 90.00 90.00 90.00°
Space group P4/mmm (No. 123)
One atom of each set of equivalent atoms:
Hf 0.0000 0.0000 0.0000 [1 per cell]
P 0.0000 0.5000 0.0000 [2 per cell]
Br 0.5000 0.5000 0.5000 [1 per cell]
Cl 0.0000 0.0000 0.5000 [1 per cell]

Computed properties:
The excess energy over the best structure of this formula in the dataset is 0.0 kJ/mol of atoms. The calculated density is 4.64 g/cm³. The value obtained for the spin magnetization is 0.75 μB/cell.

Record 2
A plane-wave DFT calculation with PBE was carried out for a geometry-optimized HfP2BrCl structure.

Cell: 4.8517 4.8517 4.7040 Å, 90.00 90.00 90.00°
Space group P4/mmm (No. 123)
One atom of each set of equivalent atoms:
Hf 0.0000 0.0000 0.0000 [1 per cell]
P 0.0000 0.5000 0.5000 [2 per cell]
Br 0.5000 0.5000 0.5000 [1 per cell]
Cl 0.5000 0.5000 0.0000 [1 per cell]

Computed properties:
The excess energy over the best structure of this formula in the dataset is 106.6 kJ/mol of atoms. The calculated density is 5.34 g/cm³. The value obtained for the spin magnetization is 0.00 μB/cell.

Record 3
A plane-wave DFT calculation with PBE was carried out for a geometry-optimized HfPbBrCl6 structure.

Cell: 7.1319 7.1319 8.3117 Å, 90.00 90.00 120.00°
Space group P312 (No. 149)
One atom of each set of equivalent atoms:
Hf 0.0000 0.0000 0.0000 [1 per cell]
Pb 0.6667 0.3333 0.0000 [1 per cell]
Br 0.3333 0.6667 0.5000 [1 per cell]
Cl 0.2866 0.0108 0.1732 [6 per cell]

Computed properties:
The calculated density is 3.08 g/cm³. The value obtained for the spin magnetization is 1.00 μB/cell.

Record 4
A plane-wave DFT calculation with PBE was carried out for a geometry-optimized HfPb2BrCl structure.

Cell: 5.8963 5.8963 4.6602 Å, 90.00 90.00 90.00°
Space group P4/mmm (No. 123)
One atom of each set of equivalent atoms:
Hf 0.0000 0.0000 0.0000 [1 per cell]
Pb 0.0000 0.5000 0.5000 [2 per cell]
Br 0.5000 0.5000 0.0000 [1 per cell]
Cl 0.0000 0.0000 0.5000 [1 per cell]

Computed properties:
The calculated density is 7.26 g/cm³. The value obtained for the spin magnetization is 0.00 μB/cell.

Record 5
A plane-wave DFT calculation with PBE was carried out for a geometry-optimized HfPd2BrCl structure.

Cell: 4.6592 4.6592 4.7989 Å, 90.00 90.00 90.00°
Space group P4/mmm (No. 123)
One atom of each set of equivalent atoms:
Hf 0.0000 0.0000 0.0000 [1 per cell]
Pd 0.0000 0.5000 0.5000 [2 per cell]
Br 0.5000 0.5000 0.0000 [1 per cell]
Cl 0.0000 0.0000 0.5000 [1 per cell]

Computed properties:
The calculated density is 8.08 g/cm³. The value obtained for the spin magnetization is 0.00 μB/cell.

Record 6
A plane-wave DFT calculation with PBE was carried out for a geometry-optimized Rb2HfBr4Cl2 structure.

Cell: 13.1196 7.7023 7.7793 Å, 90.00 126.21 90.00°
Space group C2/m (No. 12)
One atom of each set of equivalent atoms:
Rb 0.2486 0.0000 0.2621 [4 per cell]
Hf 0.0000 0.0000 0.5000 [2 per cell]
Br 0.0223 0.2414 0.7604 [8 per cell]
Cl 0.2292 0.0000 0.6866 [4 per cell]

Computed properties:
The calculated density is 3.87 g/cm³. The value obtained for the spin magnetization is 0.00 μB/cell.

| no. | E_form (uncorrected) (meV per atom) |
| --- | --- |
| 1 | -49 |
| 2 | 1055 |
| 3 | -1276 |
| 4 | 361 |
| 5 | 306 |
| 6 | -1751 |